1.
The following is a DFT calculation (PBE) of a geometry-optimized Li4CaTl structure.

Cell: 5.634 5.634 5.634 Å, 60.00 60.00 60.00°
Fractional positions:
1 Li 0.131 0.623 0.623
2 Li 0.623 0.623 0.131
3 Li 0.623 0.131 0.623
4 Li 0.623 0.623 0.623
5 Ca 0.000 0.000 0.000
6 Tl 0.250 0.250 0.250

## Properties
Total DFT energy (no corrections) in eV per cell: -12.9
Total moment in μB per formula unit: 0.536
Calculated formation energy in eV per formula unit: -0.86

2.
The following is a DFT calculation (PBE) of a geometry-optimized NiTeCl2 structure.

Cell: 7.025 7.264 5.746 Å, 125.46 111.52 116.22°
Fractional positions:
1 Te 0.984 0.208 0.553
2 Ni 0.587 0.542 0.092
3 Cl 0.781 0.896 0.832
4 Cl 0.147 0.854 0.524

## Properties
Formation energy from raw total energies in eV per formula unit: -1.54
Total DFT energy (no corrections) in eV per cell: -14.2
Total moment in μB per formula unit: 0.000

3.
The following is a DFT calculation (PBE) of a geometry-optimized CaY2IrPb structure.

Cell: 5.367 5.367 5.436 Å, 90.00 90.00 90.00°
Fractional positions:
1 Y 0.500 0.000 0.000
2 Ca 0.000 0.000 0.500
3 Pb 0.500 0.500 0.500
4 Y 0.000 0.500 0.000
5 Ir 0.000 0.000 0.000

## Properties
Total DFT energy (no corrections) in eV per cell: -29.5
Total moment in μB per formula unit: 0.000
Calculated formation energy in eV per formula unit: -1.96

4.
The following is a DFT calculation (PBE) of a geometry-optimized RbGaSe3 structure.

Cell: 6.211 6.211 6.211 Å, 90.00 90.00 90.00°
Last column: magnetic moment on the atom in μB.
Fractional positions:
1 Se 0.000 0.500 0.000  0.81
2 Rb 0.000 0.000 0.000  0.06
3 Se 0.500 0.000 0.000  0.65
4 Ga 0.500 0.500 0.500  -0.02
5 Se 0.000 0.000 0.500  0.92

## Properties
Formation energy from raw total energies in eV per formula unit: 3.99
Total DFT energy (no corrections) in eV per cell: -10.5
Total moment in μB per formula unit: 4.000

5.
The following is a DFT calculation (PBE) of a geometry-optimized ZrTi3Sb structure.

Cell: 4.966 4.966 4.966 Å, 90.00 90.00 90.00°
Last column: magnetic moment on the atom in μB.
Fractional positions:
1 Zr 0.500 0.500 0.500  0.24
2 Ti 0.500 0.000 0.000  0.15
3 Sb 0.000 0.000 0.000  -0.01
4 Ti 0.000 0.500 0.000  0.11
5 Ti 0.000 0.000 0.500  0.02

## Properties
Formation energy from raw total energies in eV per formula unit: 3.71
Total DFT energy (no corrections) in eV per cell: -32.6
Total moment in μB per formula unit: 0.784

6.
The following is a DFT calculation (PBE) of a geometry-optimized UTl3Sb3Se8 structure.

Cell: 8.388 8.389 9.094 Å, 117.48 90.00 120.00°
Last column: magnetic moment on the atom in μB.
Fractional positions:
1 Se 0.741 0.973 0.704  -0.03
2 Se 0.263 0.526 0.289  0.00
3 Tl 0.000 0.500 0.000  0.00
4 Sb 0.500 0.000 0.500  0.01
5 Se 0.232 0.973 0.704  -0.03
6 Sb 0.500 0.500 0.500  0.01
7 Se 0.768 0.536 0.296  -0.03
8 Se 0.232 0.464 0.704  -0.03
9 Sb 0.000 0.500 0.500  0.01
10 Tl 0.500 0.500 0.000  0.00
11 Se 0.737 0.474 0.711  0.00
12 Se 0.768 0.027 0.296  -0.03
13 U 0.000 0.000 0.500  2.04
14 Tl 0.000 0.000 0.000  0.00
15 Se 0.259 0.027 0.296  -0.03

## Properties
Formation energy from raw total energies in eV per formula unit: -7.74
Total DFT energy (no corrections) in eV per cell: -66.4
Total moment in μB per formula unit: 1.970

7.
The following is a DFT calculation (PBE) of a geometry-optimized Ca2CoSi structure.

Cell: 9.724 4.016 11.312 Å, 90.00 114.00 90.00°
Fractional positions:
1 Si 0.115 0.000 0.680
2 Ca 0.615 0.000 0.675
3 Co 0.925 0.500 0.254
4 Si 0.885 0.500 0.820
5 Co 0.925 0.000 0.754
6 Si 0.115 0.500 0.180
7 Ca 0.385 0.500 0.825
8 Ca 0.173 0.000 0.984
9 Ca 0.173 0.500 0.484
10 Ca 0.615 0.500 0.175
11 Co 0.075 0.500 0.746
12 Ca 0.385 0.000 0.325
13 Ca 0.827 0.500 0.516
14 Ca 0.827 0.000 0.016
15 Si 0.885 0.000 0.320
16 Co 0.075 0.000 0.246

## Properties
Formation energy from raw total energies in eV per formula unit: -1.24
Total DFT energy (no corrections) in eV per cell: -71.1
Total moment in μB per formula unit: 0.000

8.
The following is a DFT calculation (PBE) of a geometry-optimized Tb2CePrTm structure.

Cell: 7.222 7.765 5.894 Å, 90.00 90.00 90.00°
Last column: magnetic moment on the atom in μB.
Fractional positions:
1 Ce 0.000 0.000 0.000  1.01
2 Tb 0.322 0.711 0.250  0.05
3 Pr 0.164 0.500 0.750  0.01
4 Pr 0.836 0.500 0.250  0.01
5 Tm 0.387 0.000 0.750  0.10
6 Tb 0.678 0.289 0.750  0.05
7 Tb 0.678 0.711 0.750  0.05
8 Tm 0.613 0.000 0.250  0.10
9 Tb 0.322 0.289 0.250  0.05
10 Ce 0.000 0.000 0.500  1.01

## Properties
Total DFT energy (no corrections) in eV per cell: -46.1
Total moment in μB per formula unit: 1.614
Calculated formation energy in eV per formula unit: 1.38

9.
The following is a DFT calculation (PBE) of a geometry-optimized La6Tb4Nd structure.

Cell: 9.938 9.938 9.938 Å, 56.46 140.92 140.92°
Fractional positions:
1 La 0.652 0.194 0.194
2 Nd 0.000 0.000 0.000
3 Tb 0.000 0.005 0.635
4 La 0.000 0.458 0.806
5 La 0.348 0.542 0.542
6 Tb 0.370 0.365 0.365
7 La 0.000 0.806 0.458
8 La 0.500 0.000 0.500
9 Tb 0.630 0.995 0.995
10 La 0.500 0.500 0.000
11 Tb 0.000 0.635 0.005

## Properties
Total DFT energy (no corrections) in eV per cell: -50.0
Total moment in μB per formula unit: 0.000
Calculated formation energy in eV per formula unit: 2.85

10.
The following is a DFT calculation (PBE) of a geometry-optimized Ca6Ge3O structure.

Cell: 7.120 6.466 6.466 Å, 62.15 78.96 78.96°
Fractional positions:
1 Ca 0.646 0.348 0.836
2 O 0.500 0.500 0.500
3 Ge 0.713 0.821 0.821
4 Ca 0.875 0.305 0.305
5 Ca 0.646 0.836 0.348
6 Ca 0.125 0.695 0.695
7 Ge 0.000 0.000 0.000
8 Ca 0.354 0.164 0.652
9 Ge 0.287 0.179 0.179
10 Ca 0.354 0.652 0.164

## Properties
Formation energy from raw total energies in eV per formula unit: -9.25
Total DFT energy (no corrections) in eV per cell: -40.1
Total moment in μB per formula unit: 0.000

11.
The following is a DFT calculation (PBE) of a geometry-optimized MnCdHN structure.

Cell: 2.849 2.849 7.408 Å, 79.19 89.65 60.00°
Last column: magnetic moment on the atom in μB.
Fractional positions:
1 Mn 0.683 0.446 0.028  1.63
2 H 0.933 0.956 0.752  0.01
3 Cd 0.116 0.570 0.356  -0.05
4 N 0.976 0.864 0.895  -0.09

## Properties
Total DFT energy (no corrections) in eV per cell: -21.9
Total moment in μB per formula unit: 1.437

12.
The following is a DFT calculation (PBE) of a geometry-optimized K2GePtRh structure.

Cell: 6.261 6.261 4.579 Å, 90.00 90.00 90.00°
Last column: magnetic moment on the atom in μB.
Fractional positions:
1 K 0.500 0.000 0.000  0.00
2 Rh 0.500 0.500 0.500  1.30
3 Ge 0.000 0.000 0.000  -0.02
4 Pt 0.000 0.000 0.500  0.03
5 K 0.000 0.500 0.000  0.00

## Properties
Total DFT energy (no corrections) in eV per cell: -16.6
Total moment in μB per formula unit: 1.458
Calculated formation energy in eV per formula unit: 3.56

13.
The following is a DFT calculation (PBE) of a geometry-optimized BaAc2Pr structure.

Cell: 6.362 6.362 6.362 Å, 60.00 60.00 60.00°
Last column: magnetic moment on the atom in μB.
Fractional positions:
1 Pr 0.500 0.500 0.500  0.30
2 Ac 0.250 0.250 0.250  0.12
3 Ba 0.000 0.000 0.000  0.05
4 Ac 0.750 0.750 0.750  0.12

## Properties
Total DFT energy (no corrections) in eV per cell: -14.2
Total moment in μB per formula unit: 1.454
Calculated formation energy in eV per formula unit: 0.77

14.
The following is a DFT calculation (PBE) of a geometry-optimized ErTm3Tc structure.

Cell: 4.872 8.117 6.768 Å, 90.00 90.00 90.00°
Fractional positions:
1 Er 0.750 0.250 0.422
2 Tm 0.250 0.250 0.755
3 Tm 0.250 0.451 0.180
4 Tm 0.750 0.951 0.820
5 Tm 0.750 0.549 0.820
6 Tm 0.750 0.750 0.245
7 Tc 0.250 0.750 0.984
8 Tm 0.250 0.049 0.180
9 Er 0.250 0.750 0.578
10 Tc 0.750 0.250 0.016

## Properties
Total DFT energy (no corrections) in eV per cell: -57.0
Total moment in μB per formula unit: 0.000
Calculated formation energy in eV per formula unit: -0.16

15.
The following is a DFT calculation (PBE) of a geometry-optimized ThAlAu structure.

Cell: 3.368 3.368 6.292 Å, 105.52 105.52 90.00°
Fractional positions:
1 Th 0.001 0.001 0.002
2 Au 0.306 0.306 0.612
3 Al 0.693 0.693 0.385

## Properties
Total DFT energy (no corrections) in eV per cell: -15.8
Total moment in μB per formula unit: 0.000
Calculated formation energy in eV per formula unit: -1.36

16.
The following is a DFT calculation (PBE) of a geometry-optimized Nd6InTe5 structure.

Cell: 7.814 7.828 7.807 Å, 59.91 80.44 70.66°
Fractional positions:
1 Te 0.500 0.831 0.338
2 Nd 0.245 0.592 0.327
3 Te 0.000 0.334 0.332
4 In 0.000 0.000 0.000
5 Nd 0.755 0.081 0.327
6 Nd 0.754 0.756 0.000
7 Te 0.000 0.666 0.668
8 Nd 0.245 0.919 0.673
9 Te 0.500 0.169 0.662
10 Nd 0.246 0.244 0.000
11 Te 0.500 0.500 0.000
12 Nd 0.755 0.408 0.673

## Properties
Formation energy from raw total energies in eV per formula unit: -15.40
Total DFT energy (no corrections) in eV per cell: -62.5
Total moment in μB per formula unit: 0.000

17.
The following is a DFT calculation (PBE) of a geometry-optimized LiReRu2 structure.

Cell: 2.769 4.529 4.401 Å, 90.00 90.00 90.00°
Fractional positions:
1 Ru 0.500 0.500 0.000
2 Li 0.500 0.000 0.500
3 Ru 0.000 0.000 0.000
4 Re 0.000 0.500 0.500

## Properties
Total DFT energy (no corrections) in eV per cell: -31.3
Total moment in μB per formula unit: 0.005
Calculated formation energy in eV per formula unit: 1.65

18.
The following is a DFT calculation (PBE) of a geometry-optimized RbLaCd2 structure.

Cell: 5.777 5.777 5.777 Å, 60.00 60.00 60.00°
Fractional positions:
1 La 0.500 0.500 0.500
2 Rb 0.000 0.000 0.000
3 Cd 0.250 0.250 0.250
4 Cd 0.750 0.750 0.750

## Properties
Total DFT energy (no corrections) in eV per cell: -7.6
Total moment in μB per formula unit: 0.000
Calculated formation energy in eV per formula unit: 0.17

19.
The following is a DFT calculation (PBE) of a geometry-optimized LaPm12Co6 structure.

Cell: 8.704 8.704 8.704 Å, 109.47 109.47 109.47°
Fractional positions:
1 Pm 0.494 0.805 0.689
2 Co 0.500 0.889 0.389
3 Co 0.111 0.611 0.500
4 La 0.000 0.000 0.000
5 Pm 0.506 0.195 0.311
6 Pm 0.116 0.805 0.311
7 Pm 0.195 0.689 0.884
8 Pm 0.884 0.195 0.689
9 Pm 0.689 0.494 0.805
10 Co 0.611 0.500 0.111
11 Co 0.389 0.500 0.889
12 Pm 0.311 0.116 0.805
13 Pm 0.805 0.689 0.494
14 Co 0.500 0.111 0.611
15 Co 0.889 0.389 0.500
16 Pm 0.195 0.311 0.506
17 Pm 0.311 0.506 0.195
18 Pm 0.689 0.884 0.195
19 Pm 0.805 0.311 0.116

## Properties
Total DFT energy (no corrections) in eV per cell: -105.8
Total moment in μB per formula unit: 0.000
Calculated formation energy in eV per formula unit: -1.19

20.
The following is a DFT calculation (PBE) of a geometry-optimized LiBeAg structure.

Cell: 4.013 4.013 4.013 Å, 60.00 60.00 60.00°
Fractional positions:
1 Be 0.750 0.750 0.750
2 Li 0.000 0.000 0.000
3 Ag 0.500 0.500 0.500

## Properties
Total DFT energy (no corrections) in eV per cell: -7.6
Total moment in μB per formula unit: 0.000
Calculated formation energy in eV per formula unit: 0.89

21.
The following is a DFT calculation (PBE) of a geometry-optimized Cr6Rh7 structure.

Cell: 9.026 9.026 9.026 Å, 32.51 32.51 32.51°
Last column: magnetic moment on the atom in μB.
Fractional positions:
1 Cr 0.852 0.852 0.852  3.23
2 Cr 0.148 0.148 0.148  3.23
3 Cr 0.665 0.665 0.665  -2.05
4 Rh 0.416 0.416 0.920  -0.03
5 Rh 0.584 0.080 0.584  -0.03
6 Rh 0.920 0.416 0.416  -0.03
7 Rh 0.080 0.584 0.584  -0.03
8 Rh 0.584 0.584 0.080  -0.03
9 Rh 0.500 0.500 0.500  -0.18
10 Cr 0.041 0.041 0.041  0.35
11 Rh 0.416 0.920 0.416  -0.03
12 Cr 0.959 0.959 0.959  0.35
13 Cr 0.335 0.335 0.335  -2.05

## Properties
Total DFT energy (no corrections) in eV per cell: -106.4
Total moment in μB per formula unit: 2.992
Calculated formation energy in eV per formula unit: 2.82

22.
The following is a DFT calculation (PBE) of a geometry-optimized MnP2Se6 structure.

Cell: 7.398 6.559 6.559 Å, 120.00 90.00 90.00°
Last column: magnetic moment on the atom in μB.
Fractional positions:
1 Se 0.220 0.836 0.164  -0.02
2 Se 0.780 0.673 0.836  -0.02
3 Mn 0.000 0.000 0.000  2.87
4 P 0.950 0.333 0.667  0.01
5 Se 0.220 0.836 0.673  -0.02
6 Se 0.780 0.164 0.327  -0.02
7 Se 0.780 0.164 0.836  -0.02
8 Se 0.220 0.327 0.164  -0.02
9 P 0.050 0.667 0.333  0.01

## Properties
Formation energy from raw total energies in eV per formula unit: -0.21
Total DFT energy (no corrections) in eV per cell: -41.1
Total moment in μB per formula unit: 2.965

23.
The following is a DFT calculation (PBE) of a geometry-optimized Ba2LiCa structure.

Cell: 7.300 7.300 7.300 Å, 141.16 127.40 67.28°
Fractional positions:
1 Ba 0.475 0.475 0.000
2 Ba 0.025 0.025 0.000
3 Li 0.250 0.750 0.500
4 Ca 0.750 0.250 0.500

## Properties
Total DFT energy (no corrections) in eV per cell: -7.4
Total moment in μB per formula unit: 0.000
Calculated formation energy in eV per formula unit: 0.35